1.
VASP calculation (PBE) on an optimized crystal structure of YThZrSc3.

abc: 4.775 7.509 10.007
angles: 116.81 90.00 90.00
Sites, in units of the cell vectors:
1 Y 0.250 0.129 0.297
2 Y 0.750 0.871 0.703
3 Th 0.250 0.626 0.128
4 Th 0.750 0.374 0.872
5 Zr 0.250 0.118 0.619
6 Zr 0.750 0.882 0.381
7 Sc 0.750 0.872 0.046
8 Sc 0.250 0.128 0.954
9 Sc 0.250 0.638 0.457
10 Sc 0.750 0.362 0.543
11 Sc 0.750 0.390 0.212
12 Sc 0.250 0.610 0.788


2.
VASP calculation (PBE) on an optimized crystal structure of TlPb.

abc: 6.398 6.398 6.429
angles: 90.00 90.00 90.00
Sites, in units of the cell vectors:
1 Tl 0.192 0.808 0.000
2 Tl 0.692 0.692 0.500
3 Tl 0.308 0.308 0.500
4 Tl 0.808 0.192 0.000
5 Pb 0.308 0.308 0.000
6 Pb 0.808 0.192 0.500
7 Pb 0.192 0.808 0.500
8 Pb 0.692 0.692 0.000


Calculated total energy (computed, eV per atom): -6.858 -2.841
M_tot (computed, μB per atom): 0.00 0.00
Formation energy from the elements (computed, eV per atom): 0.0466 0.1966